Record 1
DFT (PBE) results for a geometry-optimized PuThInGa structure.

a b c (Å): 5.2985 5.2985 5.2985
angles (deg): 60.00 60.00 60.00
Closest atoms and distances in Å follow each position.
Positions (direct):
Pu  0.0000  0.0000  0.0000  4 In 3.24, 4 Ga 3.24
Th  0.5000  0.5000  0.5000  4 In 3.24, 4 Ga 3.24
In  0.2500  0.2500  0.2500  4 Th 3.24, 4 Pu 3.24
Ga  0.7500  0.7500  0.7500  4 Th 3.24, 4 Pu 3.24

## Properties
Space group   F-43m (216)
ΔE_f   -195 meV/atom
Size of the total moment   5.79 μB/cell
E_tot   -7.0747 eV/atom


Record 2
DFT (PBE) results for a geometry-optimized PuZnInGa structure.

a b c (Å): 4.9320 4.9320 4.9320
angles (deg): 60.00 60.00 60.00
Closest atoms and distances in Å follow each position.
Positions (direct):
Pu  0.0000  0.0000  0.0000  4 Zn 3.02, 4 Ga 3.02
Zn  0.7500  0.7500  0.7500  4 In 3.02, 4 Pu 3.02
In  0.5000  0.5000  0.5000  4 Zn 3.02, 4 Ga 3.02
Ga  0.2500  0.2500  0.2500  4 In 3.02, 4 Pu 3.02

## Properties
Space group   F-43m (216)
ΔE_f   -167 meV/atom
Size of the total moment   5.81 μB/cell
E_tot   -5.5095 eV/atom


Record 3
DFT (PBE) results for a geometry-optimized Rb2In7Ga structure.

a b c (Å): 5.0097 5.0097 12.5959
angles (deg): 90.00 90.00 90.00
Closest atoms and distances in Å follow each position.
Positions (direct):
Rb  0.0000  0.5000  0.2447  14 In 3.84-4.08, 2 Ga 3.97
Rb  0.5000  0.0000  0.7553  14 In 3.84-4.08, 2 Ga 3.97
In  0.0000  0.0000  0.0000  4 In 2.98
In  0.0000  0.0000  0.5000  4 In 3.05
In  0.0000  0.5000  0.6385  5 In 2.95-3.05
In  0.0000  0.5000  0.8724  3 In 2.95-2.98, 2 Ga 2.98
In  0.5000  0.0000  0.1276  3 In 2.95-2.98, 2 Ga 2.98
In  0.5000  0.0000  0.3615  5 In 2.95-3.05
In  0.5000  0.5000  0.5000  4 In 3.05
Ga  0.5000  0.5000  0.0000  4 In 2.98

## Properties
Space group   P-4m2 (115)
ΔE_f   -107 meV/atom
Size of the total moment   0.00 μB/cell
E_tot   -2.5199 eV/atom


Q: ΔE_f of number 3 (Rb2In7Ga)?
A: -107 meV/atom


Q: Among the records above, which one has the highest ΔE_f?
A: Rb2In7Ga


Please write out number 2 again, unchanged.
DFT (PBE) results for a geometry-optimized PuZnInGa structure.

a b c (Å): 4.9320 4.9320 4.9320
angles (deg): 60.00 60.00 60.00
Closest atoms and distances in Å follow each position.
Positions (direct):
Pu  0.0000  0.0000  0.0000  4 Zn 3.02, 4 Ga 3.02
Zn  0.7500  0.7500  0.7500  4 In 3.02, 4 Pu 3.02
In  0.5000  0.5000  0.5000  4 Zn 3.02, 4 Ga 3.02
Ga  0.2500  0.2500  0.2500  4 In 3.02, 4 Pu 3.02

## Properties
Space group   F-43m (216)
ΔE_f   -167 meV/atom
Size of the total moment   5.81 μB/cell
E_tot   -5.5095 eV/atom


Q: size of the total moment of number 1 (PuThInGa)?
A: 5.79 μB/cell